Entry 1:
The following is a DFT calculation (PBE) of a geometry-optimized CsK2Zn2 structure. Values from VASP.

Quantum ESPRESSO input file:
```
&SYSTEM
  ibrav = 0, nat = 5, ntyp = 3
/
ATOMIC_SPECIES
K 39.10 K.upf
Zn 65.41 Zn.upf
Cs 132.91 Cs.upf
CELL_PARAMETERS angstrom
-5.1172 1.6515 -1.8629
0.3170 -3.7913 -4.2320
-5.5874 -6.1159 1.2343
ATOMIC_POSITIONS crystal
K 0.2500 0.7500 0.5000
K 0.7500 0.2500 0.5000
Zn 0.4118 0.4118 0.1764
Zn 0.5882 0.5882 0.8236
Cs 0.0000 0.0000 0.0000
```

Properties
Calculated density   2.4 g/cm3
Formation energy from the elements   0.145 eV per atom
Polymorph energy (0 for the lowest one)   20 meV/atom
DOS(E_F)   4.846 states/eV/cell
Symmetry   I4/mmm

***

Entry 2:
The following is a DFT calculation (PBE) of a geometry-optimized YTcSN2 structure. Values from VASP.

Quantum ESPRESSO input file:
```
&SYSTEM
  ibrav = 0, nat = 5, ntyp = 4
/
ATOMIC_SPECIES
N 14.01 N.upf
Tc 98.00 Tc.upf
S 32.06 S.upf
Y 88.91 Y.upf
CELL_PARAMETERS angstrom
3.9021 0.0000 0.0000
0.0000 3.9021 0.0000
0.0000 0.0000 4.8936
ATOMIC_POSITIONS crystal
N 0.5000 0.0000 0.0000
N 0.0000 0.5000 0.0000
Tc 0.0000 0.0000 0.0000
S 0.0000 0.0000 0.5000
Y 0.5000 0.5000 0.5000
```

Properties
Calculated density   5.5 g/cm3
Energy relative to the elements, uncorrected   -0.4045 eV per atom
Polymorph energy (0 for the lowest one)   0 meV/atom
DOS(E_F)   3.652 states/eV/cell
Symmetry   P4/mmm

***

Entry 3:
The following is a DFT calculation (PBE) of a geometry-optimized Tb2PrGa structure. Values from VASP.

Quantum ESPRESSO input file:
```
&SYSTEM
  ibrav = 0, nat = 4, ntyp = 3
/
ATOMIC_SPECIES
Tb 158.93 Tb.upf
Pr 140.91 Pr.upf
Ga 69.72 Ga.upf
CELL_PARAMETERS angstrom
-3.3372 -2.6749 -2.0848
3.2427 -1.5527 -3.1985
1.1178 -3.6643 2.9121
ATOMIC_POSITIONS crystal
Tb 0.0000 0.0000 0.5000
Tb 0.0000 0.5000 0.0000
Pr 0.5000 0.5000 0.5000
Ga 0.5000 0.0000 0.0000
```

Properties
Calculated density   8.0 g/cm3
Formation energy from the elements   -0.230 eV per atom
Polymorph energy (0 for the lowest one)   52 meV/atom
DOS(E_F)   5.288 states/eV/cell
Symmetry   P4/mmm